## NbCrHI2 (PBE)

Data for NbCrHI2 after structural relaxation.

CIF file:
```
data_NbCrHI2
_chemical_formula_sum 'Nb1 Cr1 H1 I2'
_space_group_name_H-M_alt 'P 4/m m m'
_space_group_IT_number 123
_space_group_name_Hall '-P 4 2'
_cell_length_a 4.921
_cell_length_b 4.921
_cell_length_c 3.550
_cell_angle_alpha 90.00
_cell_angle_beta 90.00
_cell_angle_gamma 90.00
loop_
_atom_site_label
_atom_site_fract_x
_atom_site_fract_y
_atom_site_fract_z
Nb1 0.000 0.000 0.000
Cr1 0.500 0.500 0.000
H1 0.000 0.000 0.500
I1 0.000 0.500 0.500
```

Final energy in eV for the cell shown: -21.3
Crystal system: tetragonal